Below is a geometry-optimized Zr2AlCu3 structure, with properties calculated at the GGA-PBE level.

Computed properties:
As for the energy above the most stable polymorph in this dataset: 118.8 meV/atom. For the total energy, the calculation gives -0.4166 Ry/atom. The value obtained for the formation energy is -0.146 eV/atom.

Cell lengths 7.2764, 7.2764, 3.2792 Å; angles 90.00, 90.00, 145.76 degrees
With the nearest neighbours (Å) after each atom.
Fractional coordinates of all 6 atoms:
Zr1 0.1715 0.8285 0.5000  4 Cu 2.74, 2 Al 2.89, 2 Zr 3.06
Zr2 0.8285 0.1715 0.5000  4 Cu 2.74, 2 Al 2.89, 2 Zr 3.06
Al1 0.0000 0.0000 0.0000  8 Cu 2.70-2.87, 4 Zr 2.89
Cu1 0.3622 0.6378 0.0000  2 Cu 2.52, 4 Zr 2.74
Cu2 0.6378 0.3622 0.0000  2 Cu 2.52, 4 Zr 2.74
Cu3 0.5000 0.5000 0.5000  4 Cu 2.52, 4 Al 2.70



Below is a geometry-optimized K2SiCl structure, with properties calculated at the GGA-PBE level.

Computed properties:
The calculation puts the formation energy from raw total energies at -0.262 eV per atom. As for the energy above the most stable polymorph in this dataset: 281.3 meV/atom. For the total energy, the calculation gives -0.1931 Ry/atom.

Cell lengths 8.5540, 8.5540, 7.5021 Å; angles 55.24, 55.24, 90.00 degrees
With the nearest neighbours (Å) after each atom.
Fractional coordinates of all 8 atoms:
K1 0.6681 0.1250 0.2500  2 Cl 2.99
K2 0.0819 0.6250 0.2500  2 Cl 2.99
K3 0.3750 0.3319 0.7500  2 Cl 2.99
K4 0.8750 0.9181 0.7500  2 Cl 2.99
Si1 0.5000 0.5000 0.0000  4 K 3.48
Si2 0.2500 0.7500 0.5000  4 K 3.48
Cl1 0.0000 0.0000 0.0000  4 K 2.99
Cl2 0.7500 0.2500 0.5000  4 K 2.99



Below is a geometry-optimized Ce5Tl3Cd structure, with properties calculated at the GGA-PBE level.

Computed properties:
For the total energy, the calculation gives -0.3210 Ry/atom. The value obtained for the formation energy is -0.180 eV/atom.

Cell lengths 6.5891, 9.5909, 9.5909 Å; angles 120.00, 90.00, 90.00 degrees
With the nearest neighbours (Å) after each atom.
Fractional coordinates of all 18 atoms:
Ce1 0.0000 0.6666 0.3333  2 Ce 3.29, 6 Tl 3.50
Ce2 0.5000 0.3334 0.6667  2 Ce 3.29, 6 Tl 3.50
Ce3 0.0000 0.3334 0.6667  2 Ce 3.29, 6 Tl 3.50
Ce4 0.5000 0.6666 0.3333  2 Ce 3.29, 6 Tl 3.50
Ce5 0.7500 0.6953 0.6954  5 Tl 3.21-3.33, 2 Cd 3.35
Ce6 0.7500 0.0000 0.3046  5 Tl 3.21-3.33, 2 Cd 3.35
Ce7 0.7500 0.3046 0.0000  5 Tl 3.21-3.33, 2 Cd 3.35
Ce8 0.2500 0.3047 0.3046  5 Tl 3.21-3.33, 2 Cd 3.35
Ce9 0.2500 0.0000 0.6954  5 Tl 3.21-3.33, 2 Cd 3.35
Ce10 0.2500 0.6954 0.0000  5 Tl 3.21-3.33, 2 Cd 3.35
Tl1 0.7500 0.3585 0.3586  9 Ce 3.21-3.50
Tl2 0.7500 0.0000 0.6414  9 Ce 3.21-3.50
Tl3 0.7500 0.6414 0.0000  9 Ce 3.21-3.50
Tl4 0.2500 0.6415 0.6414  9 Ce 3.21-3.50
Tl5 0.2500 0.0000 0.3586  9 Ce 3.21-3.50
Tl6 0.2500 0.3586 0.0000  9 Ce 3.21-3.50
Cd1 0.0000 0.0000 0.0000  2 Cd 3.29, 6 Ce 3.35
Cd2 0.5000 0.0000 0.0000  2 Cd 3.29, 6 Ce 3.35